# SmMgSc, optimized geometry, DFT PBE
data_SmMgSc
_cell_length_a 7.2417
_cell_length_b 7.2417
_cell_length_c 7.2417
_cell_angle_alpha 90.00
_cell_angle_beta 90.00
_cell_angle_gamma 90.00
_symmetry_space_group_name_H-M 'F -4 3 m'
_symmetry_Int_Tables_number 216
_symmetry_space_group_name_Hall 'F -4 2 3'
loop_
_atom_site_label
_atom_site_type_symbol
_atom_site_fract_x
_atom_site_fract_y
_atom_site_fract_z
_atom_site_occupancy
Sm1 Sm 0.0000 0.0000 0.0000 1
Mg1 Mg 0.2500 0.2500 0.7500 1
Sc1 Sc 0.2500 0.2500 0.2500 1
# VASP energy = -3.438 eV/atom